No. 1
Computed, not measured: crystalline Ca2CeO4 at its relaxed geometry at the PBE level of DFT.

Calculated values
E_tot (eV per atom): -7.363
ΔE to the lowest computed polymorph (meV/atom): 43
V (A^3/atom): 15.7

Unit cell a=6.0203 b=6.1403 c=11.9104 alpha=90.00 beta=90.00 gamma=90.00
Space group Pbca (No. 61)
Inequivalent atoms, fractional coordinates:
Ca: 0.0198 0.0557 0.1588 [8 per cell]
Ce: 0.0000 0.0000 0.5000 [4 per cell]
O: 0.1178 0.0657 0.6742 [8 per cell]
O: 0.1793 0.1805 0.9581 [8 per cell]

=====

No. 2
Computed, not measured: crystalline GeSbTe2H at its relaxed geometry at the PBE level of DFT.

Calculated values
E_tot (eV per atom): -2.720
ΔE to the lowest computed polymorph (meV/atom): 503
V (A^3/atom): 32.7

Unit cell a=5.5062 b=5.5062 c=5.3992 alpha=90.00 beta=90.00 gamma=90.00
Space group P4/mmm (No. 123)
Inequivalent atoms, fractional coordinates:
Ge: 0.0000 0.0000 0.0000 [1 per cell]
Sb: 0.0000 0.0000 0.5000 [1 per cell]
Te: 0.0000 0.5000 0.0000 [2 per cell]
H: 0.5000 0.5000 0.5000 [1 per cell]

=====

No. 3
Computed, not measured: crystalline LaCe3Rh at its relaxed geometry at the PBE level of DFT.

Calculated values
E_tot (eV per atom): -6.224
Formation enthalpy at 0 K (meV per atom): -208
ΔE to the lowest computed polymorph (meV/atom): 55
V (A^3/atom): 26.6

Unit cell a=8.9455 b=7.2737 c=9.6161 alpha=90.00 beta=121.85 gamma=90.00
Space group P2_1/c (No. 14)
Inequivalent atoms, fractional coordinates:
La: 0.1613 0.0713 0.4048 [4 per cell]
Ce: 0.1334 0.6254 0.5392 [4 per cell]
Ce: 0.2279 0.0081 0.8280 [4 per cell]
Ce: 0.4316 0.0919 0.2341 [4 per cell]
Rh: 0.4593 0.7214 0.9630 [4 per cell]

=====

No. 4
Computed, not measured: crystalline Sm6Er7 at its relaxed geometry at the PBE level of DFT.

Calculated values
E_tot (eV per atom): -4.368
Formation enthalpy at 0 K (meV per atom): 267
V (A^3/atom): 33.7

Unit cell a=6.5919 b=6.5919 c=34.9755 alpha=90.00 beta=90.00 gamma=120.00
Space group R-3m (No. 166, hexagonal axes)
Inequivalent atoms, fractional coordinates:
Sm: 0.0000 0.0000 0.0474 [6 per cell]
Sm: 0.0000 0.0000 0.1501 [6 per cell]
Sm: 0.0000 0.0000 0.3333 [6 per cell]
Er: 0.0000 0.0000 0.5000 [3 per cell]
Er: 0.0020 0.5010 0.9126 [18 per cell]

=====

No. 5
Computed, not measured: crystalline Ce2UN3 at its relaxed geometry at the PBE level of DFT.

Calculated values
E_tot (eV per atom): -9.477
ΔE to the lowest computed polymorph (meV/atom): 3
V (A^3/atom): 15.3

Unit cell a=6.1028 b=10.5289 c=6.0658 alpha=90.00 beta=109.28 gamma=90.00
Space group C2/c (No. 15)
Inequivalent atoms, fractional coordinates:
Ce: 0.0000 0.0839 0.2500 [4 per cell]
Ce: 0.0000 0.2460 0.7500 [4 per cell]
U: 0.0000 0.4145 0.2500 [4 per cell]
N: 0.2175 0.4265 0.9964 [8 per cell]
N: 0.2500 0.2500 0.5000 [4 per cell]

=====

No. 6
Computed, not measured: crystalline GaFe3H at its relaxed geometry at the PBE level of DFT.

Calculated values
E_tot (eV per atom): -6.263
V (A^3/atom): 11.1

Unit cell a=4.4692 b=4.4692 c=19.1709 alpha=90.00 beta=90.00 gamma=120.00
Space group R-3 (No. 148, hexagonal axes)
Inequivalent atoms, fractional coordinates:
Ga: 0.0000 0.0000 0.1669 [6 per cell]
Fe: 0.0023 0.6736 0.9425 [18 per cell]
H: 0.0000 0.0000 0.3372 [6 per cell]

=====

Total magnetic moment? In order: 0.00 0.65 0.09 25.05 0.45 40.88 μB per cell.